The following is a PBE+U calculation of a relaxed structure of K2HgMoF6, from Alexandria.

DFT total energy ... -43.67 eV per cell
M_tot ... 0.39 μB/atom

a b c (Å): 6.542 6.542 6.542
angles (deg): 60.00 60.00 60.00
Each line ends with the local moment (μB).
Element x y z (fractional)
F  0.227  0.773  0.227  0.06
F  0.227  0.227  0.773  0.06
F  0.773  0.227  0.773  0.06
F  0.773  0.773  0.227  0.06
F  0.773  0.227  0.227  0.06
F  0.227  0.773  0.773  0.06
K  0.750  0.750  0.750  0.00
K  0.250  0.250  0.250  0.00
Mo  0.000  0.000  0.000  2.83
Hg  0.500  0.500  0.500  0.42